No. 1
! CeErGaSi | Alexandria | PBE-GGA | relaxed; values from VASP
&SYSTEM
  ibrav = 0, nat = 4, ntyp = 4
/
ATOMIC_SPECIES
Ce 140.12 Ce.upf
Er 167.26 Er.upf
Ga 69.72 Ga.upf
Si 28.09 Si.upf
CELL_PARAMETERS angstrom
3.976 0.000 0.000
0.000 2.162 5.428
0.000 -2.162 5.428
ATOMIC_POSITIONS crystal
Ce 0.000 0.000 0.000
Er 0.500 0.717 0.717
Ga 0.500 0.428 0.428
Si 0.000 0.281 0.281
! Offset from the most stable computed form = 0.0 meV/atom
! V = 23.332 A^3/atom
! E_form (uncorrected) = -0.634 eV/atom
! SG = Amm2, No. 38

No. 2
! Ba3ReP | Alexandria | PBE-GGA | relaxed; values from VASP
&SYSTEM
  ibrav = 0, nat = 5, ntyp = 3
/
ATOMIC_SPECIES
Ba 137.33 Ba.upf
Re 186.21 Re.upf
P 30.97 P.upf
CELL_PARAMETERS angstrom
5.696 0.000 0.000
0.000 5.696 0.000
0.000 0.000 5.696
ATOMIC_POSITIONS crystal
Ba 0.000 0.000 0.500
Ba 0.000 0.500 0.000
Ba 0.500 0.000 0.000
Re 0.000 0.000 0.000
P 0.500 0.500 0.500
! Offset from the most stable computed form = 0.0 meV/atom
! ΔH_f (0 K) = 0.575 eV/atom
! V = 36.951 A^3/atom
! SG = Pm-3m, No. 221

No. 3
! Zr2InTc | Alexandria | PBE-GGA | relaxed; values from VASP
&SYSTEM
  ibrav = 0, nat = 4, ntyp = 3
/
ATOMIC_SPECIES
Zr 91.22 Zr.upf
In 114.82 In.upf
Tc 98.00 Tc.upf
CELL_PARAMETERS angstrom
0.000 3.422 3.422
3.422 0.000 3.422
3.422 3.422 0.000
ATOMIC_POSITIONS crystal
Zr 0.250 0.250 0.250
Zr 0.750 0.750 0.750
In 0.000 0.000 0.000
Tc 0.500 0.500 0.500
! Offset from the most stable computed form = 163.6 meV/atom
! ΔH_f (0 K) = -0.211 eV/atom
! V = 20.039 A^3/atom
! SG = Fm-3m, No. 225

No. 4
! PuMnGe2Os | Alexandria | PBE-GGA | relaxed; values from VASP
&SYSTEM
  ibrav = 0, nat = 5, ntyp = 4
/
ATOMIC_SPECIES
Pu 244.00 Pu.upf
Mn 54.94 Mn.upf
Ge 72.64 Ge.upf
Os 190.23 Os.upf
CELL_PARAMETERS angstrom
-2.020 2.020 5.408
2.020 -2.020 5.408
2.020 2.020 -5.408
ATOMIC_POSITIONS crystal
Pu 0.000 0.000 0.000
Mn 0.750 0.250 0.500
Ge 0.381 0.381 0.000
Ge 0.619 0.619 0.000
Os 0.250 0.750 0.500
! ΔH_f (0 K) = -0.279 eV/atom
! V = 17.654 A^3/atom
! SG = I-4m2, No. 119